# 1
A plane-wave DFT calculation with GGA-PBE was carried out for a relaxed Li5PPd8 crystal. Values from VASP.

Structure (Quantum ESPRESSO input):
```
&SYSTEM
  ibrav = 0, nat = 14, ntyp = 3
/
ATOMIC_SPECIES
Li 6.94 Li.upf
P 30.97 P.upf
Pd 106.42 Pd.upf
CELL_PARAMETERS angstrom
-3.592 3.592 3.903
3.592 -3.592 3.903
3.592 3.592 -3.903
ATOMIC_POSITIONS angstrom
Li 0.000 0.000 0.000
Li 1.579 2.748 -1.371
Li 4.435 1.579 1.371
Li 2.012 0.843 2.532
Li -0.843 2.012 5.275
P 0.000 3.592 1.952
Pd 2.270 0.499 -0.058
Pd 4.122 2.265 -1.126
Pd 3.092 -1.321 3.962
Pd -0.530 1.327 2.777
Pd 2.265 3.062 1.126
Pd 0.499 4.913 0.058
Pd 1.327 0.530 5.030
Pd 1.321 3.092 3.845
```

Summary:
DOS at the Fermi energy: 0.252 states/eV/atom
Calculated formation energy: -369 meV per atom

---

# 2
A plane-wave DFT calculation with GGA-PBE was carried out for a relaxed PmTm2Pt crystal. Values from VASP.

Structure (Quantum ESPRESSO input):
```
&SYSTEM
  ibrav = 0, nat = 8, ntyp = 3
/
ATOMIC_SPECIES
Pm 145.00 Pm.upf
Tm 168.93 Tm.upf
Pt 195.08 Pt.upf
CELL_PARAMETERS angstrom
3.788 0.000 0.000
0.000 9.043 0.000
-1.884 0.000 6.245
ATOMIC_POSITIONS angstrom
Pm -0.001 2.261 0.738
Pm 1.905 6.782 5.507
Tm 0.008 0.549 4.498
Tm 0.008 3.972 4.498
Tm 1.896 5.071 1.747
Tm 1.896 8.494 1.747
Pt 0.003 6.782 3.001
Pt 1.901 2.261 3.244
```

Summary:
Distance to the lowest polymorph of the same formula: 25.8 meV/atom
DOS at the Fermi energy: 1.082 states/eV/atom
Calculated formation energy: -688 meV per atom

---

# 3
A plane-wave DFT calculation with GGA-PBE was carried out for a relaxed Tb7Nd3Dy crystal. Values from VASP.

Structure (Quantum ESPRESSO input):
```
&SYSTEM
  ibrav = 0, nat = 11, ntyp = 3
/
ATOMIC_SPECIES
Tb 158.93 Tb.upf
Nd 144.24 Nd.upf
Dy 162.50 Dy.upf
CELL_PARAMETERS angstrom
7.107 0.000 0.000
-3.554 6.155 0.000
0.000 0.000 8.714
ATOMIC_POSITIONS angstrom
Tb 0.000 0.000 0.000
Tb 0.000 2.041 2.821
Tb -1.786 5.134 2.821
Tb 3.554 0.011 8.693
Tb 1.786 3.072 8.693
Tb 1.786 5.134 2.821
Tb 5.321 3.072 8.693
Nd 1.777 1.026 5.755
Nd 5.330 1.026 5.755
Nd 3.554 4.103 5.755
Dy 3.554 2.052 2.798
```

Summary:
Distance to the lowest polymorph of the same formula: 0.0 meV/atom
DOS at the Fermi energy: 1.523 states/eV/atom
Calculated formation energy: 172 meV per atom

---

# 4
A plane-wave DFT calculation with GGA-PBE was carried out for a relaxed PaAgRh2 crystal. Values from VASP.

Structure (Quantum ESPRESSO input):
```
&SYSTEM
  ibrav = 0, nat = 4, ntyp = 3
/
ATOMIC_SPECIES
Pa 231.04 Pa.upf
Ag 107.87 Ag.upf
Rh 102.91 Rh.upf
CELL_PARAMETERS angstrom
3.492 0.000 0.000
0.000 3.492 0.000
0.000 0.000 6.040
ATOMIC_POSITIONS angstrom
Pa 0.000 0.000 0.000
Ag 0.000 0.000 3.020
Rh 1.746 1.746 1.427
Rh 1.746 1.746 4.613
```

Summary:
Distance to the lowest polymorph of the same formula: 161.1 meV/atom
DOS at the Fermi energy: 0.680 states/eV/atom
Calculated formation energy: -482 meV per atom

---

Values of calculated density, in order: 7.56 10.53 7.44 12.28, all in g/cm³.